The following is a DFT calculation (PBE-GGA) of a relaxed structure of MoW3S.

a b c (Å): 4.3931 4.3931 4.3931
angles (deg): 90.00 90.00 90.00
Element x y z (fractional)
Mo: 0.0000 0.0000 0.0000
W: 0.0000 0.5000 0.5000
W: 0.5000 0.0000 0.5000
W: 0.5000 0.5000 0.0000
S: 0.5000 0.5000 0.5000

Computed properties:
Formation energy from raw total energies in eV per formula unit: 4.76
Polymorph energy (0 for the lowest one) in meV/atom: 0
Space-group type: Pm-3m, No. 221


The following is a DFT calculation (PBE-GGA) of a relaxed structure of SnGeP2S.

a b c (Å): 4.7457 4.7457 4.7662
angles (deg): 90.00 90.00 90.00
Element x y z (fractional)
Sn: 0.0000 0.0000 0.0000
Ge: 0.5000 0.5000 0.5000
P: 0.0000 0.5000 0.5000
P: 0.5000 0.0000 0.5000
S: 0.5000 0.5000 0.0000

Computed properties:
Formation energy from raw total energies in eV per formula unit: 2.86
Polymorph energy (0 for the lowest one) in meV/atom: 0
Space-group type: P4/mmm, No. 123


The following is a DFT calculation (PBE-GGA) of a relaxed structure of Ta3Cd2.

a b c (Å): 2.9392 2.9392 38.6057
angles (deg): 90.00 90.00 120.00
Element x y z (fractional)
Ta: 0.0000 0.0000 0.0000
Ta: 0.0000 0.0000 0.1995
Ta: 0.0000 0.0000 0.8005
Ta: 0.3333 0.6667 0.4672
Ta: 0.3333 0.6667 0.6667
Ta: 0.3333 0.6667 0.8662
Ta: 0.6667 0.3333 0.1338
Ta: 0.6667 0.3333 0.3333
Ta: 0.6667 0.3333 0.5328
Cd: 0.0000 0.0000 0.4003
Cd: 0.0000 0.0000 0.5997
Cd: 0.3333 0.6667 0.0670
Cd: 0.3333 0.6667 0.2664
Cd: 0.6667 0.3333 0.7336
Cd: 0.6667 0.3333 0.9330

Computed properties:
Space-group type: R-3m, No. 166
DFT formation energy in eV per formula unit: 1.65


The following is a DFT calculation (PBE-GGA) of a relaxed structure of Mg2Ga5Pd3.

a b c (Å): 12.4720 12.4720 6.4409
angles (deg): 90.00 90.00 160.07
Element x y z (fractional)
Mg: 0.0295 0.9705 0.5000
Mg: 0.3052 0.6948 0.7407
Mg: 0.6948 0.3052 0.2407
Mg: 0.9705 0.0295 0.0000
Ga: 0.0880 0.9120 0.8980
Ga: 0.1963 0.8037 0.5622
Ga: 0.1964 0.8036 0.9607
Ga: 0.3769 0.6231 0.1036
Ga: 0.4317 0.5683 0.6958
Ga: 0.5683 0.4317 0.1958
Ga: 0.6231 0.3769 0.6036
Ga: 0.8037 0.1963 0.0622
Ga: 0.8036 0.1964 0.4607
Ga: 0.9120 0.0880 0.3980
Pd: 0.1270 0.8730 0.2721
Pd: 0.2688 0.7312 0.2660
Pd: 0.4682 0.5318 0.3084
Pd: 0.5318 0.4682 0.8084
Pd: 0.7312 0.2688 0.7660
Pd: 0.8730 0.1270 0.7721

Computed properties:
Polymorph energy (0 for the lowest one) in meV/atom: 0
Space-group type: Cmc2_1, No. 36
DFT formation energy in eV per formula unit: -4.66


The following is a DFT calculation (PBE-GGA) of a relaxed structure of KInHgCl6.

a b c (Å): 6.8715 6.8715 13.7557
angles (deg): 90.00 90.00 120.00
Element x y z (fractional)
K: 0.0000 0.0000 0.0000
K: 0.0000 0.0000 0.5000
In: 0.3333 0.6667 0.2500
In: 0.6667 0.3333 0.7500
Hg: 0.3333 0.6667 0.7500
Hg: 0.6667 0.3333 0.2500
Cl: 0.0172 0.3793 0.1413
Cl: 0.0172 0.6379 0.3587
Cl: 0.3621 0.3793 0.3587
Cl: 0.3621 0.9828 0.1413
Cl: 0.3793 0.0172 0.6413
Cl: 0.3793 0.3621 0.8587
Cl: 0.6207 0.6379 0.1413
Cl: 0.6207 0.9828 0.3587
Cl: 0.6379 0.0172 0.8587
Cl: 0.6379 0.6207 0.6413
Cl: 0.9828 0.3621 0.6413
Cl: 0.9828 0.6207 0.8587

Computed properties:
Formation energy from raw total energies in eV per formula unit: -10.26
Space-group type: P-31c, No. 163


The following is a DFT calculation (PBE-GGA) of a relaxed structure of LaNd3Y5.

a b c (Å): 10.2356 10.2356 11.4660
angles (deg): 112.16 112.16 34.70
Element x y z (fractional)
La: 0.1056 0.8944 0.7500
La: 0.8944 0.1056 0.2500
Nd: 0.0000 0.0000 0.0000
Nd: 0.0000 0.0000 0.5000
Nd: 0.0490 0.5914 0.6373
Nd: 0.4086 0.9510 0.8627
Nd: 0.5914 0.0490 0.1373
Nd: 0.9510 0.4086 0.3627
Y: 0.0855 0.5736 0.9689
Y: 0.0981 0.5804 0.3057
Y: 0.4073 0.5927 0.2500
Y: 0.4196 0.9019 0.1943
Y: 0.4264 0.9145 0.5311
Y: 0.5736 0.0855 0.4689
Y: 0.5804 0.0981 0.8057
Y: 0.5927 0.4073 0.7500
Y: 0.9019 0.4196 0.6943
Y: 0.9145 0.4264 0.0311

Computed properties:
Polymorph energy (0 for the lowest one) in meV/atom: 71
Space-group type: C2/c, No. 15
DFT formation energy in eV per formula unit: 2.65


The following is a DFT calculation (PBE-GGA) of a relaxed structure of BaSr3Tl2.

a b c (Å): 5.6641 10.6587 8.2451
angles (deg): 90.00 90.00 90.00
Element x y z (fractional)
Ba: 0.0000 0.0658 0.0000
Ba: 0.0000 0.9342 0.5000
Sr: 0.0000 0.3220 0.6284
Sr: 0.0000 0.6780 0.1284
Sr: 0.5000 0.1842 0.3173
Sr: 0.5000 0.4349 0.9468
Sr: 0.5000 0.5651 0.4468
Sr: 0.5000 0.8158 0.8173
Tl: 0.0000 0.3668 0.2146
Tl: 0.0000 0.6332 0.7146
Tl: 0.5000 0.1404 0.7323
Tl: 0.5000 0.8596 0.2323

Computed properties:
Polymorph energy (0 for the lowest one) in meV/atom: 0
Space-group type: Pmc2_1, No. 26
DFT formation energy in eV per formula unit: -1.87


The following is a DFT calculation (PBE-GGA) of a relaxed structure of Sr2TmZnO5.

a b c (Å): 7.3557 7.3557 10.5900
angles (deg): 90.00 90.00 153.04
Element x y z (fractional)
Sr: 0.1149 0.8851 0.5000
Sr: 0.1296 0.8704 0.0975
Sr: 0.8704 0.1296 0.5975
Sr: 0.8851 0.1149 0.0000
Tm: 0.2102 0.7898 0.8063
Tm: 0.7898 0.2102 0.3063
Zn: 0.4932 0.5068 0.2786
Zn: 0.5068 0.4932 0.7786
O: 0.0520 0.9480 0.8462
O: 0.2904 0.7096 0.4474
O: 0.3014 0.6986 0.1700
O: 0.3644 0.6356 0.8088
O: 0.4997 0.5003 0.0925
O: 0.5003 0.4997 0.5925
O: 0.6356 0.3644 0.3088
O: 0.6986 0.3014 0.6700
O: 0.7096 0.2904 0.9474
O: 0.9480 0.0520 0.3462

Computed properties:
Formation energy from raw total energies in eV per formula unit: -22.29
Space-group type: Cmc2_1, No. 36


The following is a DFT calculation (PBE-GGA) of a relaxed structure of PaBeNi4.

a b c (Å): 6.8837 3.5699 6.2618
angles (deg): 90.00 90.00 90.00
Element x y z (fractional)
Pa: 0.2500 0.0000 0.1374
Pa: 0.7500 0.0000 0.8626
Be: 0.2500 0.0000 0.6940
Be: 0.7500 0.0000 0.3060
Ni: 0.0000 0.0000 0.5000
Ni: 0.0562 0.5000 0.8014
Ni: 0.2500 0.5000 0.4635
Ni: 0.4438 0.5000 0.8014
Ni: 0.5000 0.0000 0.5000
Ni: 0.5562 0.5000 0.1986
Ni: 0.7500 0.5000 0.5365
Ni: 0.9438 0.5000 0.1986

Computed properties:
Polymorph energy (0 for the lowest one) in meV/atom: 0
Space-group type: Pmma, No. 51
DFT formation energy in eV per formula unit: -2.34


The following is a DFT calculation (PBE-GGA) of a relaxed structure of Sb3W4.

a b c (Å): 5.7720 5.7720 4.8022
angles (deg): 90.00 90.00 120.00
Element x y z (fractional)
Sb: 0.0000 0.5000 0.0000
Sb: 0.5000 0.0000 0.0000
Sb: 0.5000 0.5000 0.0000
W: 0.0000 0.0000 0.2444
W: 0.0000 0.0000 0.7556
W: 0.3333 0.6667 0.5000
W: 0.6667 0.3333 0.5000

Computed properties:
Formation energy from raw total energies in eV per formula unit: 10.47
Polymorph energy (0 for the lowest one) in meV/atom: 1094
Space-group type: P6/mmm, No. 191


The following is a DFT calculation (PBE-GGA) of a relaxed structure of MgCdNi.

a b c (Å): 3.0615 3.0615 10.8453
angles (deg): 90.00 90.00 90.00
Element x y z (fractional)
Mg: 0.0000 0.0000 0.0000
Mg: 0.5000 0.5000 0.5000
Cd: 0.0000 0.0000 0.7072
Cd: 0.5000 0.5000 0.2072
Ni: 0.0000 0.0000 0.3610
Ni: 0.5000 0.5000 0.8610

Computed properties:
Polymorph energy (0 for the lowest one) in meV/atom: 38
Space-group type: I4mm, No. 107
DFT formation energy in eV per formula unit: -0.22


The following is a DFT calculation (PBE-GGA) of a relaxed structure of NpHgBr2.

a b c (Å): 3.8027 3.8027 33.0115
angles (deg): 90.00 90.00 120.00
Element x y z (fractional)
Np: 0.0000 0.0000 0.0000
Np: 0.3333 0.6667 0.6667
Np: 0.6667 0.3333 0.3333
Hg: 0.0000 0.0000 0.5000
Hg: 0.3333 0.6667 0.1667
Hg: 0.6667 0.3333 0.8333
Br: 0.0000 0.0000 0.2735
Br: 0.0000 0.0000 0.7265
Br: 0.3333 0.6667 0.3932
Br: 0.3333 0.6667 0.9401
Br: 0.6667 0.3333 0.0599
Br: 0.6667 0.3333 0.6068

Computed properties:
Formation energy from raw total energies in eV per formula unit: -3.13
Space-group type: R-3m, No. 166


The following is a DFT calculation (PBE-GGA) of a relaxed structure of Li2RePt.

a b c (Å): 5.1229 8.7334 2.5994
angles (deg): 90.00 90.00 90.00
Element x y z (fractional)
Li: 0.2500 0.2500 0.0000
Li: 0.2500 0.7500 0.0000
Li: 0.7500 0.2500 0.0000
Li: 0.7500 0.7500 0.0000
Re: 0.0000 0.0000 0.5000
Re: 0.5000 0.5000 0.5000
Pt: 0.0000 0.5000 0.5000
Pt: 0.5000 0.0000 0.5000

Computed properties:
Polymorph energy (0 for the lowest one) in meV/atom: 226
Space-group type: Cmmm, No. 65
DFT formation energy in eV per formula unit: 0.39


The following is a DFT calculation (PBE-GGA) of a relaxed structure of TiNb2Sn.

a b c (Å): 3.4979 3.4979 6.0867
angles (deg): 90.00 90.00 90.00
Element x y z (fractional)
Ti: 0.0000 0.0000 0.0000
Nb: 0.5000 0.5000 0.2418
Nb: 0.5000 0.5000 0.7582
Sn: 0.0000 0.0000 0.5000

Computed properties:
Space-group type: P4/mmm, No. 123
DFT formation energy in eV per formula unit: -0.40


The following is a DFT calculation (PBE-GGA) of a relaxed structure of CrSiSe.

a b c (Å): 5.9532 5.9532 5.9532
angles (deg): 90.00 90.00 90.00
Element x y z (fractional)
Cr: 0.0000 0.0000 0.0000
Cr: 0.0000 0.5000 0.5000
Cr: 0.5000 0.0000 0.5000
Cr: 0.5000 0.5000 0.0000
Si: 0.2500 0.2500 0.2500
Si: 0.2500 0.7500 0.7500
Si: 0.7500 0.2500 0.7500
Si: 0.7500 0.7500 0.2500
Se: 0.2500 0.2500 0.7500
Se: 0.2500 0.7500 0.2500
Se: 0.7500 0.2500 0.2500
Se: 0.7500 0.7500 0.7500

Computed properties:
Formation energy from raw total energies in eV per formula unit: 0.66
Space-group type: F-43m, No. 216


The following is a DFT calculation (PBE-GGA) of a relaxed structure of Cu2SbHF.

a b c (Å): 3.8512 3.8512 5.9475
angles (deg): 90.00 90.00 90.00
Element x y z (fractional)
Cu: 0.0000 0.5000 0.0000
Cu: 0.5000 0.0000 0.0000
Sb: 0.0000 0.0000 0.5000
H: 0.5000 0.5000 0.5000
F: 0.0000 0.0000 0.0000

Computed properties:
Space-group type: P4/mmm, No. 123


The following is a DFT calculation (PBE-GGA) of a relaxed structure of LiGaBRh2.

a b c (Å): 4.0501 4.0501 3.9571
angles (deg): 90.00 90.00 90.00
Element x y z (fractional)
Li: 0.0000 0.0000 0.0000
Ga: 0.5000 0.5000 0.0000
B: 0.0000 0.0000 0.5000
Rh: 0.0000 0.5000 0.5000
Rh: 0.5000 0.0000 0.5000

Computed properties:
Space-group type: P4/mmm, No. 123
DFT formation energy in eV per formula unit: -1.84


The following is a DFT calculation (PBE-GGA) of a relaxed structure of Pr7Nd16Tm6.

a b c (Å): 11.4212 11.4212 11.4212
angles (deg): 60.00 60.00 60.00
Element x y z (fractional)
Pr: 0.0000 0.0000 0.0000
Pr: 0.0000 0.0000 0.5000
Pr: 0.0000 0.5000 0.0000
Pr: 0.0000 0.5000 0.5000
Pr: 0.5000 0.0000 0.0000
Pr: 0.5000 0.0000 0.5000
Pr: 0.5000 0.5000 0.0000
Nd: 0.0487 0.6504 0.6504
Nd: 0.1256 0.1256 0.1256
Nd: 0.1256 0.1256 0.6232
Nd: 0.1256 0.6232 0.1256
Nd: 0.3496 0.3496 0.3496
Nd: 0.3496 0.3496 0.9513
Nd: 0.3496 0.9513 0.3496
Nd: 0.3768 0.8744 0.8744
Nd: 0.6232 0.1256 0.1256
Nd: 0.6504 0.0487 0.6504
Nd: 0.6504 0.6504 0.0487
Nd: 0.6504 0.6504 0.6504
Nd: 0.8744 0.3768 0.8744
Nd: 0.8744 0.8744 0.3768
Nd: 0.8744 0.8744 0.8744
Nd: 0.9513 0.3496 0.3496
Tm: 0.2610 0.2610 0.7390
Tm: 0.2610 0.7390 0.2610
Tm: 0.2610 0.7390 0.7390
Tm: 0.7390 0.2610 0.2610
Tm: 0.7390 0.2610 0.7390
Tm: 0.7390 0.7390 0.2610

Computed properties:
Space-group type: Fm-3m, No. 225
DFT formation energy in eV per formula unit: 6.82


The following is a DFT calculation (PBE-GGA) of a relaxed structure of Mo3H3Ru2.

a b c (Å): 4.8615 4.8615 9.7673
angles (deg): 94.02 94.02 48.52
Element x y z (fractional)
Mo: 0.0000 0.0000 0.0000
Mo: 0.2105 0.2105 0.3846
Mo: 0.2914 0.2914 0.1262
Mo: 0.3256 0.3256 0.8787
Mo: 0.5102 0.5102 0.5126
Mo: 0.8967 0.8967 0.6730
H: 0.0846 0.0846 0.1903
H: 0.0926 0.0926 0.8181
H: 0.4195 0.4195 0.3195
H: 0.4232 0.4232 0.6910
H: 0.4928 0.4928 0.0441
H: 0.9688 0.9688 0.4794
Ru: 0.1935 0.1935 0.6316
Ru: 0.6036 0.6036 0.2344
Ru: 0.6080 0.6080 0.7968
Ru: 0.9022 0.9022 0.2916

Computed properties:
Space-group type: Cm, No. 8


The following is a DFT calculation (PBE-GGA) of a relaxed structure of TmGa4Pd2.

a b c (Å): 17.1707 4.3220 6.6147
angles (deg): 90.00 90.00 90.00
Element x y z (fractional)
Tm: 0.1421 0.2500 0.0133
Tm: 0.3579 0.7500 0.5133
Tm: 0.6421 0.2500 0.4867
Tm: 0.8579 0.7500 0.9867
Ga: 0.0380 0.7500 0.8444
Ga: 0.0687 0.2500 0.4815
Ga: 0.1846 0.7500 0.3181
Ga: 0.1888 0.7500 0.7253
Ga: 0.3112 0.2500 0.2253
Ga: 0.3154 0.2500 0.8181
Ga: 0.4313 0.7500 0.9815
Ga: 0.4620 0.2500 0.3444
Ga: 0.5380 0.7500 0.6556
Ga: 0.5687 0.2500 0.0185
Ga: 0.6846 0.7500 0.1819
Ga: 0.6888 0.7500 0.7747
Ga: 0.8112 0.2500 0.2747
Ga: 0.8154 0.2500 0.6819
Ga: 0.9313 0.7500 0.5185
Ga: 0.9620 0.2500 0.1556
Pd: 0.0363 0.7500 0.2423
Pd: 0.2163 0.2500 0.5254
Pd: 0.2837 0.7500 0.0254
Pd: 0.4637 0.2500 0.7423
Pd: 0.5363 0.7500 0.2577
Pd: 0.7163 0.2500 0.9746
Pd: 0.7837 0.7500 0.4746
Pd: 0.9637 0.2500 0.7577

Computed properties:
Polymorph energy (0 for the lowest one) in meV/atom: 0
Space-group type: Pnma, No. 62
DFT formation energy in eV per formula unit: -4.61


Number 1: D(E_F) 5.89 states/eV/cell, VASP energy -9.8122 eV/atom. Number 2: D(E_F) 4.65 states/eV/cell, VASP energy -4.1412 eV/atom. Number 3: D(E_F) 23.97 states/eV/cell, VASP energy -7.1485 eV/atom. Number 4: D(E_F) 8.32 states/eV/cell, VASP energy -3.8563 eV/atom. Number 5: D(E_F) 0.00 states/eV/cell, VASP energy -2.8308 eV/atom. Number 6: D(E_F) 27.45 states/eV/cell, VASP energy -5.4332 eV/atom. Number 7: D(E_F) 16.17 states/eV/cell, VASP energy -2.2612 eV/atom. Number 8: D(E_F) 14.08 states/eV/cell, VASP energy -6.2438 eV/atom. Number 9: D(E_F) 4.65 states/eV/cell, VASP energy -6.4473 eV/atom. Number 10: D(E_F) 7.99 states/eV/cell, VASP energy -7.6729 eV/atom. Number 11: D(E_F) 4.11 states/eV/cell, VASP energy -2.8366 eV/atom. Number 12: D(E_F) 27.13 states/eV/cell, VASP energy -4.9296 eV/atom. Number 13: D(E_F) 4.60 states/eV/cell, VASP energy -5.4818 eV/atom. Number 14: D(E_F) 4.26 states/eV/cell, VASP energy -8.1084 eV/atom. Number 15: D(E_F) 13.25 states/eV/cell, VASP energy -5.9557 eV/atom. Number 16: D(E_F) 1.25 states/eV/cell, VASP energy -3.0302 eV/atom. Number 17: D(E_F) 1.31 states/eV/cell, VASP energy -5.6329 eV/atom. Number 18: D(E_F) 36.09 states/eV/cell, VASP energy -4.4743 eV/atom. Number 19: D(E_F) 8.85 states/eV/cell, VASP energy -7.4382 eV/atom. Number 20: D(E_F) 12.87 states/eV/cell, VASP energy -4.5101 eV/atom.